[1]
# KZn2SnAu4

Crystalline KZn2SnAu4 at its relaxed geometry (PBE, Alexandria via LeMat-Bulk).

For the volume, the calculation gives 22.80 Å³/atom. The total energy comes out at -2.669 eV/atom. For the size of the total moment, the calculation gives 0.0 μB/f.u.

The structure belongs to space group R-3m (No. 166, hexagonal axes); the cell edges are 5.0492, 5.0492 and 24.7892 Å and the angles 90.00°, 90.00° and 120.00°. Symmetry generates all atoms from K at (0.0000, 0.0000, 0.0000), Zn at (0.0000, 0.0000, 0.2786), Sn at (0.0000, 0.0000, 0.5000), Au at (0.0000, 0.0000, 0.1745) and Au at (0.0000, 0.0000, 0.3873).

=====

[2]
# K2ZnSnAu2

Crystalline K2ZnSnAu2 at its relaxed geometry (PBE, Alexandria via LeMat-Bulk).

For the volume, the calculation gives 29.65 Å³/atom. The total energy comes out at -2.594 eV/atom. For the size of the total moment, the calculation gives 0.0 μB/f.u.

The structure belongs to space group Ibam (No. 72); the cell edges are 6.762, 14.281 and 7.370 Å and the angles 90.00°, 90.00° and 90.00°. Symmetry generates all atoms from K at (0.233, 0.180, 0.000), Zn at (0.000, 0.000, 0.250), Sn at (0.000, 0.500, 0.250) and Au at (0.233, 0.077, 0.500).

=====

[3]
# K2Zn3Sn4Au

Crystalline K2Zn3Sn4Au at its relaxed geometry (PBE, Alexandria via LeMat-Bulk).

For the volume, the calculation gives 26.20 Å³/atom. The total energy comes out at -2.687 eV/atom. For the size of the total moment, the calculation gives 0.0 μB/f.u.

The structure belongs to space group P-4m2 (No. 115); the cell edges are 4.761, 4.761 and 11.557 Å and the angles 90.00°, 90.00° and 90.00°. Symmetry generates all atoms from K at (0.000, 0.500, 0.243), Zn at (0.000, 0.000, 0.000), Zn at (0.000, 0.500, 0.638), Sn at (0.000, 0.000, 0.500), Sn at (0.000, 0.500, 0.873), Sn at (0.500, 0.500, 0.500) and Au at (0.500, 0.500, 0.000).

=====

[4]
# KZnSnAu2

Crystalline KZnSnAu2 at its relaxed geometry (PBE, Alexandria via LeMat-Bulk).

For the volume, the calculation gives 25.12 Å³/atom. The total energy comes out at -2.835 eV/atom. For the size of the total moment, the calculation gives 0.0 μB/f.u.

The structure belongs to space group I-4m2 (No. 119); the cell edges are 4.697, 4.697 and 11.383 Å and the angles 90.00°, 90.00° and 90.00°. Symmetry generates all atoms from K at (0.000, 0.000, 0.000), Zn at (0.000, 0.500, 0.750), Sn at (0.000, 0.500, 0.250) and Au at (0.000, 0.000, 0.376).

=====

[5]
# KZnSn2Au

Crystalline KZnSn2Au at its relaxed geometry (PBE, Alexandria via LeMat-Bulk).

For the volume, the calculation gives 26.82 Å³/atom. The total energy comes out at -2.913 eV/atom. For the size of the total moment, the calculation gives 0.0 μB/f.u.

The structure belongs to space group I-4m2 (No. 119); the cell edges are 4.808, 4.808 and 11.601 Å and the angles 90.00°, 90.00° and 90.00°. Symmetry generates all atoms from K at (0.000, 0.000, 0.000), Zn at (0.000, 0.500, 0.750), Sn at (0.000, 0.000, 0.372) and Au at (0.000, 0.500, 0.250).

=====

[6]
# K2Zn3SnAu4

Crystalline K2Zn3SnAu4 at its relaxed geometry (PBE, Alexandria via LeMat-Bulk).

For the volume, the calculation gives 23.69 Å³/atom. The total energy comes out at -2.561 eV/atom. For the size of the total moment, the calculation gives 0.0 μB/f.u.

The structure belongs to space group P-4m2 (No. 115); the cell edges are 4.688, 4.688 and 10.777 Å and the angles 90.00°, 90.00° and 90.00°. Symmetry generates all atoms from K at (0.000, 0.500, 0.238), Zn at (0.000, 0.500, 0.879), Zn at (0.500, 0.500, 0.500), Sn at (0.000, 0.000, 0.500), Au at (0.000, 0.000, 0.000), Au at (0.000, 0.500, 0.636) and Au at (0.500, 0.500, 0.000).

=====

[7]
# KSrAu3

Crystalline KSrAu3 at its relaxed geometry (PBE, Alexandria via LeMat-Bulk).

For the volume, the calculation gives 28.62 Å³/atom. For the energy above the lowest structure with this stoichiometry, the calculation gives 0 kJ/mol of formula units. For the size of the total moment, the calculation gives 0.0 μB/f.u.

The structure belongs to space group Cmcm (No. 63); the cell edges are 4.070, 28.971 and 4.853 Å and the angles 90.00°, 90.00° and 90.00°. Symmetry generates all atoms from K at (0.000, 0.207, 0.250), Sr at (0.000, 0.071, 0.750), Au at (0.000, 0.334, 0.250), Au at (0.000, 0.383, 0.750) and Au at (0.000, 0.478, 0.750).

=====

[8]
# KSrAu2

Crystalline KSrAu2 at its relaxed geometry (PBE, Alexandria via LeMat-Bulk).

For the volume, the calculation gives 34.57 Å³/atom. The total energy comes out at -2.748 eV/atom. For the size of the total moment, the calculation gives 0.0 μB/f.u.

The structure belongs to space group Pmm2 (No. 25); the cell edges are 4.524, 4.687 and 6.521 Å and the angles 90.00°, 90.00° and 90.00°. Symmetry generates all atoms from K at (0.000, 0.000, 0.000), Sr at (0.500, 0.500, 0.501), Au at (0.000, 0.000, 0.500) and Au at (0.500, 0.500, 0.001).

=====

[9]
# K4SrAu5

Crystalline K4SrAu5 at its relaxed geometry (PBE, Alexandria via LeMat-Bulk).

For the volume, the calculation gives 31.41 Å³/atom. The total energy comes out at -2.639 eV/atom. For the size of the total moment, the calculation gives 0.0 μB/f.u.

The structure belongs to space group P4/mmm (No. 123); the cell edges are 3.972, 3.972 and 19.912 Å and the angles 90.00°, 90.00° and 90.00°. Symmetry generates all atoms from K at (0.000, 0.000, 0.100), K at (0.000, 0.000, 0.299), Sr at (0.000, 0.000, 0.500), Au at (0.500, 0.500, 0.000), Au at (0.500, 0.500, 0.202) and Au at (0.500, 0.500, 0.419).

=====

[10]
# KSrAu2

Crystalline KSrAu2 at its relaxed geometry (PBE, Alexandria via LeMat-Bulk).

For the volume, the calculation gives 31.14 Å³/atom. The total energy comes out at -2.879 eV/atom. For the size of the total moment, the calculation gives 0.0 μB/f.u.

The structure belongs to space group P4/mmm (No. 123); the cell edges are 3.957, 3.957 and 7.957 Å and the angles 90.00°, 90.00° and 90.00°. Symmetry generates all atoms from K at (0.000, 0.000, 0.000), Sr at (0.000, 0.000, 0.500) and Au at (0.500, 0.500, 0.296).

=====

[11]
# KSrAu2

Crystalline KSrAu2 at its relaxed geometry (PBE, Alexandria via LeMat-Bulk).

For the volume, the calculation gives 31.10 Å³/atom. The total energy comes out at -2.863 eV/atom. For the size of the total moment, the calculation gives 0.0 μB/f.u.

The structure belongs to space group Amm2 (No. 38); the cell edges are 4.757, 4.411 and 11.857 Å and the angles 90.00°, 90.00° and 90.00°. Symmetry generates all atoms from K at (0.000, 0.000, 0.000), Sr at (0.500, 0.000, 0.279), Au at (0.000, 0.000, 0.720) and Au at (0.500, 0.000, 0.573).

=====

[12]
# KSrAu4

Crystalline KSrAu4 at its relaxed geometry (PBE, Alexandria via LeMat-Bulk).

For the volume, the calculation gives 27.05 Å³/atom. For the energy above the lowest structure with this stoichiometry, the calculation gives 0 kJ/mol of formula units. For the size of the total moment, the calculation gives 0.0 μB/f.u.

The structure belongs to space group Immm (No. 71); the cell edges are 4.733, 8.207 and 8.357 Å and the angles 90.00°, 90.00° and 90.00°. Symmetry generates all atoms from K at (0.000, 0.000, 0.000), Sr at (0.000, 0.500, 0.000) and Au at (0.000, 0.236, 0.335).

=====

[13]
# K2SrAu2

Crystalline K2SrAu2 at its relaxed geometry (PBE, Alexandria via LeMat-Bulk).

For the volume, the calculation gives 32.84 Å³/atom. For the energy above the lowest structure with this stoichiometry, the calculation gives 74 kJ/mol of formula units. For the size of the total moment, the calculation gives 0.0 μB/f.u.

The structure belongs to space group P4/mbm (No. 127); the cell edges are 9.259, 9.259 and 3.831 Å and the angles 90.00°, 90.00° and 90.00°. Symmetry generates all atoms from K at (0.121, 0.379, 0.000), Sr at (0.000, 0.000, 0.000) and Au at (0.182, 0.682, 0.500).

=====

[14]
# KSrAu2

Crystalline KSrAu2 at its relaxed geometry (PBE, Alexandria via LeMat-Bulk).

For the volume, the calculation gives 34.71 Å³/atom. The total energy comes out at -2.626 eV/atom. For the size of the total moment, the calculation gives 0.0 μB/f.u.

The structure belongs to space group I-42d (No. 122); the cell edges are 8.509, 8.509 and 7.669 Å and the angles 90.00°, 90.00° and 90.00°. Symmetry generates all atoms from K at (0.000, 0.000, 0.000), Sr at (0.000, 0.000, 0.500) and Au at (0.235, 0.250, 0.625).

=====

[15]
# KSrAu2

Crystalline KSrAu2 at its relaxed geometry (PBE, Alexandria via LeMat-Bulk).

For the volume, the calculation gives 28.61 Å³/atom. The total energy comes out at -2.708 eV/atom. For the size of the total moment, the calculation gives 0.0 μB/f.u.

The structure belongs to space group I-4m2 (No. 119); the cell edges are 4.597, 4.597 and 10.833 Å and the angles 90.00°, 90.00° and 90.00°. Symmetry generates all atoms from K at (0.000, 0.000, 0.000), Sr at (0.000, 0.500, 0.750), Au at (0.000, 0.000, 0.500) and Au at (0.000, 0.500, 0.250).

=====

[16]
# KSr4Au

Crystalline KSr4Au at its relaxed geometry (PBE, Alexandria via LeMat-Bulk).

For the volume, the calculation gives 54.73 Å³/atom. The total energy comes out at -1.506 eV/atom. For the size of the total moment, the calculation gives 0.0 μB/f.u.

The structure belongs to space group F-43m (No. 216); the cell edges are 10.951, 10.951 and 10.951 Å and the angles 90.00°, 90.00° and 90.00°. Symmetry generates all atoms from K at (0.000, 0.000, 0.000), Sr at (0.125, 0.125, 0.625) and Au at (0.250, 0.250, 0.250).

=====

[17]
# K2Sr2Au

Crystalline K2Sr2Au at its relaxed geometry (PBE, Alexandria via LeMat-Bulk).

For the volume, the calculation gives 52.61 Å³/atom. The total energy comes out at -1.887 eV/atom. For the size of the total moment, the calculation gives 0.0 μB/f.u.

The structure belongs to space group P4/mbm (No. 127); the cell edges are 8.408, 8.408 and 7.442 Å and the angles 90.00°, 90.00° and 90.00°. Symmetry generates all atoms from K at (0.174, 0.326, 0.000), Sr at (0.176, 0.676, 0.500) and Au at (0.000, 0.000, 0.500).

=====

[18]
# K2SrAu2

Crystalline K2SrAu2 at its relaxed geometry (PBE, Alexandria via LeMat-Bulk).

For the volume, the calculation gives 35.26 Å³/atom. For the energy above the lowest structure with this stoichiometry, the calculation gives 0 kJ/mol of formula units. For the size of the total moment, the calculation gives 0.0 μB/f.u.

The structure belongs to space group P4/mbm (No. 127); the cell edges are 8.234, 8.234 and 5.201 Å and the angles 90.00°, 90.00° and 90.00°. Symmetry generates all atoms from K at (0.161, 0.339, 0.000), Sr at (0.000, 0.000, 0.500) and Au at (0.124, 0.624, 0.500).

=====

[19]
# K2SrAu2

Crystalline K2SrAu2 at its relaxed geometry (PBE, Alexandria via LeMat-Bulk).

For the volume, the calculation gives 33.90 Å³/atom. For the energy above the lowest structure with this stoichiometry, the calculation gives 20 kJ/mol of formula units. For the size of the total moment, the calculation gives 0.0 μB/f.u.

The structure belongs to space group I4/mmm (No. 139); the cell edges are 4.744, 4.744 and 15.062 Å and the angles 90.00°, 90.00° and 90.00°. Symmetry generates all atoms from K at (0.000, 0.500, 0.250), Sr at (0.000, 0.000, 0.000) and Au at (0.000, 0.000, 0.410).

=====

[20]
# KSrAu2

Crystalline KSrAu2 at its relaxed geometry (PBE, Alexandria via LeMat-Bulk).

For the volume, the calculation gives 35.25 Å³/atom. The total energy comes out at -2.786 eV/atom. For the size of the total moment, the calculation gives 0.0 μB/f.u.

The structure belongs to space group C2/m (No. 12); the cell edges are 7.826, 4.491 and 8.427 Å and the angles 90.00°, 107.78° and 90.00°. Symmetry generates all atoms from K at (0.000, 0.000, 0.000), Sr at (0.000, 0.500, 0.500) and Au at (0.241, 0.000, 0.723).

=====

[21]
# K3SrAu8

Crystalline K3SrAu8 at its relaxed geometry (PBE, Alexandria via LeMat-Bulk).

For the volume, the calculation gives 23.55 Å³/atom. The total energy comes out at -2.973 eV/atom. For the size of the total moment, the calculation gives 0.0 μB/f.u.

The structure belongs to space group R3m (No. 160, hexagonal axes); the cell edges are 5.7823, 5.7823 and 29.2810 Å and the angles 90.00°, 90.00° and 120.00°. Symmetry generates all atoms from K at (0.0000, 0.0000, 0.0000), K at (0.0000, 0.0000, 0.1222), K at (0.0000, 0.0000, 0.6291), Sr at (0.0000, 0.0000, 0.5015), Au at (0.0000, 0.0000, 0.3134), Au at (0.0000, 0.0000, 0.8130), Au at (0.0024, 0.5012, 0.0649) and Au at (0.1680, 0.3359, 0.8950).

=====

[22]
# KSr8Au4

Crystalline KSr8Au4 at its relaxed geometry (PBE, Alexandria via LeMat-Bulk).

For the volume, the calculation gives 44.50 Å³/atom. The total energy comes out at -2.631 eV/atom. For the size of the total moment, the calculation gives 0.0 μB/f.u.

The structure belongs to space group C2/m (No. 12); the cell edges are 22.076, 4.567 and 15.024 Å and the angles 90.00°, 130.20° and 90.00°. Symmetry generates all atoms from K at (0.000, 0.000, 0.000), Sr at (0.039, 0.000, 0.738), Sr at (0.132, 0.500, 0.592), Sr at (0.170, 0.500, 0.344), Sr at (0.209, 0.500, 0.073), Au at (0.145, 0.000, 0.461) and Au at (0.164, 0.500, 0.827).

=====

[23]
# K2SrAu9

Crystalline K2SrAu9 at its relaxed geometry (PBE, Alexandria via LeMat-Bulk).

For the volume, the calculation gives 22.70 Å³/atom. The total energy comes out at -3.142 eV/atom. For the size of the total moment, the calculation gives 0.0 μB/f.u.

The structure belongs to space group R-3m (No. 166, hexagonal axes); the cell edges are 5.6852, 5.6852 and 29.1996 Å and the angles 90.00°, 90.00° and 120.00°. Symmetry generates all atoms from K at (0.0000, 0.0000, 0.1454), Sr at (0.0000, 0.0000, 0.0000), Au at (0.0000, 0.0000, 0.3321), Au at (0.0000, 0.0000, 0.5000) and Au at (0.0007, 0.5003, 0.0819).

=====

[24]
# KSrAu

Crystalline KSrAu at its relaxed geometry (PBE, Alexandria via LeMat-Bulk).

For the volume, the calculation gives 42.21 Å³/atom. The total energy comes out at -2.478 eV/atom. For the size of the total moment, the calculation gives 0.0 μB/f.u.

The structure belongs to space group Cmcm (No. 63); the cell edges are 4.273, 25.008 and 4.740 Å and the angles 90.00°, 90.00° and 90.00°. Symmetry generates all atoms from K at (0.000, 0.183, 0.250), Sr at (0.000, 0.436, 0.250) and Au at (0.000, 0.038, 0.250).

=====

[25]
# KSrAu4

Crystalline KSrAu4 at its relaxed geometry (PBE, Alexandria via LeMat-Bulk).

For the volume, the calculation gives 23.65 Å³/atom. For the energy above the lowest structure with this stoichiometry, the calculation gives 31 kJ/mol of formula units. For the size of the total moment, the calculation gives 0.0 μB/f.u.

The structure belongs to space group F-43m (No. 216); the cell edges are 8.280, 8.280 and 8.280 Å and the angles 90.00°, 90.00° and 90.00°. Symmetry generates all atoms from K at (0.000, 0.000, 0.000), Sr at (0.250, 0.250, 0.750) and Au at (0.125, 0.125, 0.375).